# 1
Entry from the Alexandria database: a relaxed Dy4AlTl3 crystal (PBE).

The structure belongs to space group P4/mmm (No. 123); the cell edges are 3.696, 3.696 and 15.418 Å and the angles 90.00°, 90.00° and 90.00°. Symmetry generates all atoms from Dy at (0.000, 0.000, 0.114), Dy at (0.000, 0.000, 0.371), Al at (0.500, 0.500, 0.000), Tl at (0.500, 0.500, 0.243) and Tl at (0.500, 0.500, 0.500).

For the density of states at the Fermi level, the calculation gives 4.17 states/eV/f.u. The formation energy comes out at -2.8 eV/f.u. Its calculated volume is 210.7 Å³/f.u.

# 2
Entry from the Alexandria database: a relaxed DyAlTl2 crystal (PBE).

The structure belongs to space group P4/mmm (No. 123); the cell edges are 4.621, 4.621 and 4.605 Å and the angles 90.00°, 90.00° and 90.00°. Symmetry generates all atoms from Dy at (0.000, 0.000, 0.000), Al at (0.500, 0.500, 0.000) and Tl at (0.000, 0.500, 0.500).

The calculation puts the offset from the most stable computed form at 0.000 eV per atom. For the density of states at the Fermi level, the calculation gives 1.76 states/eV/f.u. The formation energy comes out at -0.8 eV/f.u. Its calculated volume is 98.4 Å³/f.u.